1.
## LaTb2I (PBE-GGA)

Data for a relaxed structure of LaTb2I.

Unit cell a=3.618 b=3.618 c=12.061 alpha=81.37 beta=81.37 gamma=60.00
Element x y z (fractional)
La 0.000 0.000 0.000
Tb 0.903 0.903 0.290
Tb 0.097 0.097 0.710
I 0.500 0.500 0.500

E_form (uncorrected): -0.090 eV/atom
Relative energy among the computed polymorphs: 0.2307 eV per atom

2.
## LaTbI4 (PBE-GGA)

Data for a relaxed structure of LaTbI4.

Unit cell a=4.219 b=7.383 c=8.489 alpha=106.10 beta=90.00 gamma=90.00
Element x y z (fractional)
I 0.000 0.233 0.743
I 0.500 0.762 0.752
I 0.500 0.238 0.248
I 0.000 0.767 0.257
La 0.000 0.500 0.500
Tb 0.500 0.000 0.500

E_form (uncorrected): -1.300 eV/atom
Relative energy among the computed polymorphs: 0.0000 eV per atom

3.
## LaTbI4 (PBE-GGA)

Data for a relaxed structure of LaTbI4.

Unit cell a=6.265 b=6.265 c=7.524 alpha=114.60 beta=114.60 gamma=90.00
Element x y z (fractional)
I 0.507 0.007 0.014
I 0.768 0.768 0.536
I 0.993 0.493 0.986
I 0.232 0.232 0.464
Tb 0.250 0.750 0.500
La 0.500 0.500 0.000

E_form (uncorrected): -1.211 eV/atom
Relative energy among the computed polymorphs: 0.0886 eV per atom

4.
## LaTb2I (PBE-GGA)

Data for a relaxed structure of LaTb2I.

Unit cell a=3.784 b=3.784 c=10.945 alpha=80.05 beta=80.05 gamma=60.00
Element x y z (fractional)
Tb 0.257 0.257 0.229
Tb 0.076 0.076 0.771
I 0.667 0.667 0.000
La 0.500 0.500 0.500

E_form (uncorrected): -0.321 eV/atom
Relative energy among the computed polymorphs: 0.0000 eV per atom

5.
## La7TbI12 (PBE-GGA)

Data for a relaxed structure of La7TbI12.

Unit cell a=10.279 b=10.279 c=10.279 alpha=108.23 beta=108.23 gamma=108.23
Element x y z (fractional)
I 0.689 0.223 0.074
I 0.223 0.074 0.689
I 0.484 0.161 0.399
I 0.399 0.484 0.161
I 0.516 0.839 0.601
I 0.074 0.689 0.223
I 0.161 0.399 0.484
I 0.926 0.311 0.777
I 0.311 0.777 0.926
I 0.839 0.601 0.516
I 0.601 0.516 0.839
I 0.777 0.926 0.311
La 0.121 0.046 0.336
La 0.046 0.336 0.121
La 0.336 0.121 0.046
La 0.664 0.879 0.954
La 0.954 0.664 0.879
La 0.879 0.954 0.664
La 0.500 0.500 0.500
Tb 0.000 0.000 0.000

E_form (uncorrected): -1.150 eV/atom

6.
## LaTbTeI (PBE-GGA)

Data for a relaxed structure of LaTbTeI.

Unit cell a=5.471 b=5.471 c=5.471 alpha=60.00 beta=60.00 gamma=60.00
Element x y z (fractional)
Tb 0.500 0.500 0.500
La 0.000 0.000 0.000
Te 0.250 0.250 0.250
I 0.750 0.750 0.750

E_form (uncorrected): -1.085 eV/atom

7.
## La9Tc2I14 (PBE-GGA)

Data for a relaxed structure of La9Tc2I14.

Unit cell a=9.386 b=9.386 c=13.099 alpha=90.00 beta=90.00 gamma=120.00
Element x y z (fractional)
La 0.710 0.099 0.666
La 0.667 0.333 0.933
La 0.333 0.667 0.067
La 0.901 0.611 0.666
La 0.000 0.000 0.000
La 0.290 0.901 0.334
La 0.611 0.710 0.334
La 0.099 0.389 0.334
La 0.389 0.290 0.666
I 0.632 0.947 0.906
I 0.947 0.315 0.094
I 0.053 0.685 0.906
I 0.685 0.632 0.094
I 0.315 0.368 0.906
I 0.368 0.053 0.094
I 0.693 0.092 0.405
I 0.000 0.000 0.254
I 0.399 0.307 0.405
I 0.000 0.000 0.746
I 0.908 0.601 0.405
I 0.092 0.399 0.595
I 0.601 0.693 0.595
I 0.307 0.908 0.595
Tc 0.667 0.333 0.722
Tc 0.333 0.667 0.278

E_form (uncorrected): -1.096 eV/atom

8.
## La5TcI5 (PBE-GGA)

Data for a relaxed structure of La5TcI5.

Unit cell a=6.449 b=7.772 c=9.374 alpha=107.93 beta=90.00 gamma=114.51
Element x y z (fractional)
I 0.000 0.000 0.500
I 0.680 0.361 0.347
I 0.649 0.298 0.792
I 0.351 0.702 0.208
I 0.320 0.639 0.653
Tc 0.000 0.000 0.000
La 0.137 0.273 0.272
La 0.863 0.727 0.728
La 0.500 0.000 0.000
La 0.843 0.685 0.126
La 0.157 0.315 0.874

E_form (uncorrected): -0.975 eV/atom

9.
## LaTc3I (PBE-GGA)

Data for a relaxed structure of LaTc3I.

Unit cell a=4.881 b=4.881 c=4.881 alpha=90.00 beta=90.00 gamma=90.00
Element x y z (fractional)
Tc 0.000 0.000 0.500
Tc 0.000 0.500 0.000
Tc 0.500 0.000 0.000
La 0.500 0.500 0.500
I 0.000 0.000 0.000

E_form (uncorrected): 1.274 eV/atom
Relative energy among the computed polymorphs: 0.0000 eV per atom

10.
## La2TcI (PBE-GGA)

Data for a relaxed structure of La2TcI.

Unit cell a=4.264 b=4.264 c=8.575 alpha=75.60 beta=75.60 gamma=60.00
Element x y z (fractional)
Tc 0.000 0.000 0.000
I 0.500 0.500 0.500
La 0.271 0.271 0.186
La 0.729 0.729 0.814

E_form (uncorrected): -0.368 eV/atom
Relative energy among the computed polymorphs: 0.0840 eV per atom

11.
## La2TcI (PBE-GGA)

Data for a relaxed structure of La2TcI.

Unit cell a=5.367 b=5.367 c=5.367 alpha=60.00 beta=60.00 gamma=60.00
Element x y z (fractional)
Tc 0.000 0.000 0.000
La 0.250 0.250 0.250
La 0.750 0.750 0.750
I 0.500 0.500 0.500

E_form (uncorrected): -0.018 eV/atom
Relative energy among the computed polymorphs: 0.4342 eV per atom

12.
## LaTc3I (PBE-GGA)

Data for a relaxed structure of LaTc3I.

Unit cell a=5.021 b=5.021 c=5.021 alpha=90.00 beta=90.00 gamma=90.00
Element x y z (fractional)
Tc 0.500 0.000 0.000
Tc 0.000 0.000 0.500
Tc 0.000 0.500 0.000
I 0.500 0.500 0.500
La 0.000 0.000 0.000

E_form (uncorrected): 2.190 eV/atom
Relative energy among the computed polymorphs: 0.9160 eV per atom

13.
## La2TcI (PBE-GGA)

Data for a relaxed structure of La2TcI.

Unit cell a=4.299 b=4.299 c=8.372 alpha=75.12 beta=75.12 gamma=60.00
Element x y z (fractional)
La 0.055 0.055 0.834
La 0.269 0.269 0.192
Tc 0.676 0.676 0.972
I 0.499 0.499 0.502

E_form (uncorrected): -0.367 eV/atom
Relative energy among the computed polymorphs: 0.0849 eV per atom

14.
## La4TcI2 (PBE-GGA)

Data for a relaxed structure of La4TcI2.

Unit cell a=4.140 b=8.916 c=9.438 alpha=132.70 beta=90.00 gamma=90.00
Element x y z (fractional)
La 0.000 0.071 0.295
La 0.500 0.640 0.804
La 0.500 0.217 0.053
La 0.000 0.786 0.562
I 0.500 0.685 0.187
I 0.500 0.172 0.670
Tc 0.000 0.929 0.929

E_form (uncorrected): -0.542 eV/atom

15.
## La2TcI (PBE-GGA)

Data for a relaxed structure of La2TcI.

Unit cell a=3.655 b=3.655 c=8.475 alpha=90.00 beta=90.00 gamma=90.00
Element x y z (fractional)
La 0.000 0.000 0.800
La 0.000 0.000 0.200
I 0.500 0.500 0.500
Tc 0.500 0.500 0.000

E_form (uncorrected): -0.452 eV/atom
Relative energy among the computed polymorphs: 0.0000 eV per atom

16.
## La4TcI5 (PBE-GGA)

Data for a relaxed structure of La4TcI5.

Unit cell a=4.400 b=9.504 c=10.213 alpha=103.57 beta=102.44 gamma=90.00
Element x y z (fractional)
I 0.169 0.336 0.338
I 0.500 0.500 0.000
I 0.831 0.664 0.662
I 0.829 0.167 0.657
I 0.171 0.833 0.343
La 0.637 0.071 0.275
La 0.999 0.785 0.999
La 0.001 0.215 0.001
La 0.363 0.929 0.725
Tc 0.500 0.000 0.000

E_form (uncorrected): -1.122 eV/atom

17.
## La3TcI (PBE-GGA)

Data for a relaxed structure of La3TcI.

Unit cell a=5.552 b=5.552 c=5.552 alpha=90.00 beta=90.00 gamma=90.00
Element x y z (fractional)
I 0.500 0.500 0.500
La 0.000 0.500 0.000
La 0.500 0.000 0.000
La 0.000 0.000 0.500
Tc 0.000 0.000 0.000

E_form (uncorrected): -0.223 eV/atom
Relative energy among the computed polymorphs: 0.1215 eV per atom

18.
## La3TcI (PBE-GGA)

Data for a relaxed structure of La3TcI.

Unit cell a=4.357 b=7.186 c=10.310 alpha=90.00 beta=90.00 gamma=90.00
Element x y z (fractional)
La 0.250 0.501 0.859
La 0.750 0.001 0.141
La 0.750 0.250 0.616
La 0.750 0.499 0.141
La 0.250 0.999 0.859
La 0.250 0.750 0.384
Tc 0.250 0.750 0.097
Tc 0.750 0.250 0.903
I 0.250 0.250 0.363
I 0.750 0.750 0.637

E_form (uncorrected): -0.344 eV/atom
Relative energy among the computed polymorphs: 0.0000 eV per atom

19.
## La2TcI (PBE-GGA)

Data for a relaxed structure of La2TcI.

Unit cell a=7.742 b=7.742 c=7.247 alpha=57.72 beta=57.72 gamma=90.00
Element x y z (fractional)
Tc 0.250 0.750 0.500
Tc 0.500 0.500 0.000
I 0.000 0.000 0.000
I 0.750 0.250 0.500
La 0.535 0.125 0.250
La 0.875 0.785 0.750
La 0.215 0.625 0.250
La 0.375 0.465 0.750

E_form (uncorrected): -0.244 eV/atom
Relative energy among the computed polymorphs: 0.2085 eV per atom

20.
## LaTcTe2I (PBE-GGA)

Data for a relaxed structure of LaTcTe2I.

Unit cell a=6.175 b=6.175 c=6.108 alpha=90.00 beta=90.00 gamma=90.00
Element x y z (fractional)
Te 0.000 0.500 0.000
Te 0.500 0.000 0.000
I 0.000 0.000 0.500
Tc 0.500 0.500 0.500
La 0.000 0.000 0.000

E_form (uncorrected): 0.467 eV/atom
Relative energy among the computed polymorphs: 0.6798 eV per atom

21.
## LaTcTe2I (PBE-GGA)

Data for a relaxed structure of LaTcTe2I.

Unit cell a=5.365 b=5.365 c=5.332 alpha=90.00 beta=90.00 gamma=90.00
Element x y z (fractional)
La 0.500 0.500 0.500
Te 0.500 0.000 0.000
Te 0.000 0.500 0.000
Tc 0.000 0.000 0.000
I 0.000 0.000 0.500

E_form (uncorrected): -0.213 eV/atom
Relative energy among the computed polymorphs: 0.0000 eV per atom

22.
## LaThTcI (PBE-GGA)

Data for a relaxed structure of LaThTcI.

Unit cell a=4.214 b=4.214 c=8.554 alpha=90.01 beta=104.26 gamma=119.96
Element x y z (fractional)
Tc 0.320 0.557 0.892
I 0.967 0.382 0.363
Th 0.083 0.940 0.038
La 0.509 0.153 0.676

E_form (uncorrected): -0.466 eV/atom

23.
## La2ZrTcI (PBE-GGA)

Data for a relaxed structure of La2ZrTcI.

Unit cell a=5.350 b=5.314 c=5.350 alpha=90.00 beta=90.00 gamma=90.00
Element x y z (fractional)
Tc 0.000 0.000 0.000
I 0.000 0.500 0.000
Zr 0.500 0.500 0.500
La 0.500 0.000 0.000
La 0.000 0.000 0.500

E_form (uncorrected): 0.522 eV/atom

24.
## LaTeI2 (PBE-GGA)

Data for a relaxed structure of LaTeI2.

Unit cell a=5.721 b=5.721 c=5.721 alpha=60.00 beta=60.00 gamma=60.00
Element x y z (fractional)
Te 0.000 0.000 0.000
La 0.500 0.500 0.500
I 0.750 0.750 0.750
I 0.250 0.250 0.250

E_form (uncorrected): -0.748 eV/atom
Relative energy among the computed polymorphs: 0.2369 eV per atom

25.
## La2TeI2 (PBE-GGA)

Data for a relaxed structure of La2TeI2.

Unit cell a=8.578 b=8.578 c=4.646 alpha=90.00 beta=90.00 gamma=90.00
Element x y z (fractional)
I 0.357 0.143 0.500
I 0.857 0.357 0.500
I 0.143 0.643 0.500
I 0.643 0.857 0.500
Te 0.500 0.500 0.000
Te 0.000 0.000 0.000
La 0.156 0.344 0.000
La 0.344 0.844 0.000
La 0.844 0.656 0.000
La 0.656 0.156 0.000

E_form (uncorrected): -1.248 eV/atom
Relative energy among the computed polymorphs: 0.2764 eV per atom